1.
This record from the Alexandria database describes a relaxed structure of YCdSb2. The functional is GGA-PBE.

Calculated values
The formation energy (no corrections) is -0.45 eV per atom. The raw total energy is -4.35 eV/atom. The crystal system is tetragonal. As for the symmetry: I4/mmm.

a b c (Å): 5.7922 5.7922 5.7922
angles (deg): 132.46 132.46 69.50
Fractional positions:
Y 0.0000 0.0000 0.0000
Cd 0.5000 0.5000 0.0000
Sb 0.2500 0.7500 0.5000
Sb 0.7500 0.2500 0.5000

=====

2.
This record from the Alexandria database describes a relaxed structure of YCdSb. The functional is GGA-PBE.

Calculated values
The formation energy (no corrections) is -0.18 eV per atom. The energy above the most stable polymorph in this dataset is 0.88 eV per formula unit. The raw total energy is -4.01 eV/atom. The crystal system is trigonal. As for the symmetry: P3m1.

a b c (Å): 3.4953 3.4953 7.7670
angles (deg): 90.00 90.00 120.00
Fractional positions:
Y 0.0000 0.0000 0.0000
Cd 0.6667 0.3333 0.3362
Sb 0.3333 0.6667 0.6739

=====

> What is the formation energy (no corrections) in the first record?

-0.45 eV per atom

=====

> Look up the raw total energy of the second one.

-4.01 eV/atom

=====

What did the second record say?
This record from the Alexandria database describes a relaxed structure of YCdSb. The functional is GGA-PBE.

Calculated values
The formation energy (no corrections) is -0.18 eV per atom. The energy above the most stable polymorph in this dataset is 0.88 eV per formula unit. The raw total energy is -4.01 eV/atom. The crystal system is trigonal. As for the symmetry: P3m1.

a b c (Å): 3.4953 3.4953 7.7670
angles (deg): 90.00 90.00 120.00
Fractional positions:
Y 0.0000 0.0000 0.0000
Cd 0.6667 0.3333 0.3362
Sb 0.3333 0.6667 0.6739